#1
A relaxed Ba2Sr5Li crystal. Source: the Alexandria database, functional PBE.

Lattice parameters (Å, degrees): 6.2809 8.7506 8.7506 90.00 90.00 90.00
Fractional positions:
Ba  0.5000  0.0000  0.5000
Sr  0.5000  0.0000  0.0000
Sr  0.0000  0.7391  0.2609
Sr  0.0000  0.2609  0.7391
Ba  0.5000  0.5000  0.0000
Li  0.0000  0.0000  0.0000
Sr  0.0000  0.2609  0.2609
Sr  0.0000  0.7391  0.7391


#2
A relaxed Ba2Sr5Li crystal. Source: the Alexandria database, functional PBE.

Lattice parameters (Å, degrees): 4.4293 10.2821 18.6936 90.00 90.00 90.00
Fractional positions:
Sr  0.0000  0.5007  0.7299
Sr  0.0000  0.9993  0.2299
Ba  0.5000  0.7120  0.8836
Li  0.0000  0.0000  0.5000
Ba  0.5000  0.2120  0.6164
Sr  0.0000  0.4993  0.2701
Sr  0.5000  0.7888  0.6173
Ba  0.5000  0.2880  0.1164
Li  0.0000  0.5000  0.0000
Sr  0.0000  0.0007  0.7701
Sr  0.5000  0.7112  0.1173
Sr  0.0000  0.0000  0.0000
Sr  0.0000  0.5000  0.5000
Ba  0.5000  0.7880  0.3836
Sr  0.5000  0.2112  0.3827
Sr  0.5000  0.2888  0.8827


Most stable structure among those shown: #2.